VASP calculation (PBE-GGA) on crystalline Pr4Sm3ScS8 at its relaxed geometry.

Properties
The value obtained for the volume is 1106.0 Å³/cell. The total moment is 0.00 μB/cell. As for the uncorrected formation energy: -1.982 eV/atom. The value obtained for the density of states at the Fermi level is 25.44 states/eV/cell.

Cell lengths 8.0115, 8.0115, 19.8983 Å; angles 90.00, 90.00, 120.00 degrees
Space group R-3m (No. 166, hexagonal axes)
One atom of each set of equivalent atoms:
Pr 0.0000 0.0000 0.0000 [3 per cell]
Pr 0.0000 0.5000 0.0000 [9 per cell]
Sm 0.0000 0.5000 0.5000 [9 per cell]
Sc 0.0000 0.0000 0.5000 [3 per cell]
S 0.0000 0.0000 0.2469 [6 per cell]
S 0.0126 0.5063 0.2439 [18 per cell]


VASP calculation (PBE-GGA) on crystalline Pr3Sm2ScS6 at its relaxed geometry.

Properties
The value obtained for the volume is 547.2 Å³/cell. The total moment is 0.00 μB/cell. As for the uncorrected formation energy: -1.976 eV/atom. The value obtained for the density of states at the Fermi level is 11.02 states/eV/cell.

Cell lengths 17.499, 3.981, 8.097 Å; angles 90.00, 104.06, 90.00 degrees
Space group C2/m (No. 12)
One atom of each set of equivalent atoms:
Pr 0.000 0.000 0.000 [2 per cell]
Pr 0.169 0.500 0.335 [4 per cell]
Sm 0.166 0.500 0.833 [4 per cell]
Sc 0.000 0.000 0.500 [2 per cell]
S 0.000 0.500 0.273 [4 per cell]
S 0.157 0.000 0.584 [4 per cell]
S 0.169 0.000 0.078 [4 per cell]


VASP calculation (PBE-GGA) on crystalline Tb3Pr3ScS8 at its relaxed geometry.

Properties
The value obtained for the volume is 1075.3 Å³/cell. The total moment is 0.00 μB/cell. As for the uncorrected formation energy: -2.032 eV/atom. The value obtained for the density of states at the Fermi level is 21.73 states/eV/cell.

Cell lengths 7.9211, 7.9211, 19.7883 Å; angles 90.00, 90.00, 120.00 degrees
Space group R-3m (No. 166, hexagonal axes)
One atom of each set of equivalent atoms:
Tb 0.0000 0.5000 0.0000 [9 per cell]
Pr 0.0000 0.5000 0.5000 [9 per cell]
Sc 0.0000 0.0000 0.0000 [3 per cell]
S 0.0000 0.0000 0.2553 [6 per cell]
S 0.0100 0.5050 0.7425 [18 per cell]


VASP calculation (PBE-GGA) on crystalline Tb4PrScS8 at its relaxed geometry.

Properties
The value obtained for the volume is 1112.1 Å³/cell. The total moment is 2.36 μB/cell. As for the uncorrected formation energy: -1.912 eV/atom. The value obtained for the density of states at the Fermi level is 16.90 states/eV/cell.

Cell lengths 8.0407, 8.0407, 19.8614 Å; angles 90.00, 90.00, 120.00 degrees
Space group R3m (No. 160, hexagonal axes)
One atom of each set of equivalent atoms:
Tb 0.0000 0.0000 0.0000 [3 per cell]
Tb 0.1712 0.3424 0.2065 [9 per cell]
Pr 0.0000 0.0000 0.3779 [3 per cell]
Sc 0.0000 0.0000 0.7489 [3 per cell]
S 0.0000 0.0000 0.1335 [3 per cell]
S 0.0000 0.0000 0.6221 [3 per cell]
S 0.1680 0.3361 0.4616 [9 per cell]
S 0.1750 0.3500 0.9519 [9 per cell]


VASP calculation (PBE-GGA) on crystalline TbPr2ScS4 at its relaxed geometry.

Properties
The value obtained for the volume is 176.1 Å³/cell. The total moment is 0.00 μB/cell. As for the uncorrected formation energy: -1.962 eV/atom. The value obtained for the density of states at the Fermi level is 3.94 states/eV/cell.

Cell lengths 6.791, 3.898, 7.020 Å; angles 90.00, 108.65, 90.00 degrees
Space group P2/m (No. 10)
One atom of each set of equivalent atoms:
Tb 0.000 0.000 0.000 [1 per cell]
Pr 0.000 0.500 0.500 [1 per cell]
Pr 0.500 0.000 0.500 [1 per cell]
Sc 0.500 0.500 0.000 [1 per cell]
S 0.251 0.500 0.227 [2 per cell]
S 0.268 0.000 0.779 [2 per cell]


VASP calculation (PBE-GGA) on crystalline TbPr2ScS6 at its relaxed geometry.

Properties
The value obtained for the volume is 479.5 Å³/cell. The total moment is 0.00 μB/cell. As for the uncorrected formation energy: -2.023 eV/atom. The value obtained for the density of states at the Fermi level is 0.00 states/eV/cell.

Cell lengths 6.658, 7.303, 11.810 Å; angles 90.00, 123.38, 90.00 degrees
Space group P2_1/c (No. 14)
One atom of each set of equivalent atoms:
Tb 0.000 0.000 0.000 [2 per cell]
Pr 0.290 0.095 0.752 [4 per cell]
Sc 0.500 0.000 0.500 [2 per cell]
S 0.120 0.047 0.259 [4 per cell]
S 0.255 0.682 0.068 [4 per cell]
S 0.398 0.193 0.069 [4 per cell]


VASP calculation (PBE-GGA) on crystalline TbPrSc2S4 at its relaxed geometry.

Properties
The value obtained for the volume is 162.3 Å³/cell. The total moment is 0.00 μB/cell. As for the uncorrected formation energy: -1.917 eV/atom. The value obtained for the density of states at the Fermi level is 4.52 states/eV/cell.

Cell lengths 6.644, 3.802, 6.787 Å; angles 90.00, 108.80, 90.00 degrees
Space group P2/m (No. 10)
One atom of each set of equivalent atoms:
Tb 0.000 0.000 0.000 [1 per cell]
Pr 0.500 0.500 0.000 [1 per cell]
Sc 0.000 0.500 0.500 [1 per cell]
Sc 0.500 0.000 0.500 [1 per cell]
S 0.233 0.000 0.721 [2 per cell]
S 0.251 0.500 0.274 [2 per cell]


VASP calculation (PBE-GGA) on crystalline Pr2ScTe2S2 at its relaxed geometry.

Properties
The value obtained for the volume is 379.5 Å³/cell. The total moment is 0.00 μB/cell. As for the uncorrected formation energy: -1.617 eV/atom. The value obtained for the density of states at the Fermi level is 6.18 states/eV/cell.

Cell lengths 4.825, 4.825, 16.303 Å; angles 90.00, 90.00, 90.00 degrees
Space group I4/mmm (No. 139)
One atom of each set of equivalent atoms:
Pr 0.000 0.000 0.120 [4 per cell]
Sc 0.000 0.000 0.500 [2 per cell]
Te 0.000 0.000 0.319 [4 per cell]
S 0.000 0.500 0.000 [4 per cell]


VASP calculation (PBE-GGA) on crystalline PrThSc2S4 at its relaxed geometry.

Properties
The value obtained for the volume is 165.8 Å³/cell. The total moment is 0.00 μB/cell. As for the uncorrected formation energy: -1.869 eV/atom. The value obtained for the density of states at the Fermi level is 3.66 states/eV/cell.

Cell lengths 6.643, 3.816, 6.901 Å; angles 90.00, 108.60, 90.00 degrees
Space group P2/m (No. 10)
One atom of each set of equivalent atoms:
Pr 0.000 0.000 0.000 [1 per cell]
Th 0.500 0.500 0.000 [1 per cell]
Sc 0.000 0.500 0.500 [1 per cell]
Sc 0.500 0.000 0.500 [1 per cell]
S 0.241 0.000 0.718 [2 per cell]
S 0.264 0.500 0.283 [2 per cell]


VASP calculation (PBE-GGA) on crystalline PrTh2ScS4 at its relaxed geometry.

Properties
The value obtained for the volume is 178.6 Å³/cell. The total moment is 0.00 μB/cell. As for the uncorrected formation energy: -1.836 eV/atom. The value obtained for the density of states at the Fermi level is 4.94 states/eV/cell.

Cell lengths 6.835, 3.968, 6.969 Å; angles 90.00, 109.09, 90.00 degrees
Space group P2/m (No. 10)
One atom of each set of equivalent atoms:
Pr 0.000 0.000 0.000 [1 per cell]
Th 0.000 0.500 0.500 [1 per cell]
Th 0.500 0.000 0.500 [1 per cell]
Sc 0.500 0.500 0.000 [1 per cell]
S 0.263 0.500 0.240 [2 per cell]
S 0.271 0.000 0.769 [2 per cell]


VASP calculation (PBE-GGA) on crystalline Pr4Th3ScS8 at its relaxed geometry.

Properties
The value obtained for the volume is 1117.0 Å³/cell. The total moment is 0.00 μB/cell. As for the uncorrected formation energy: -1.908 eV/atom. The value obtained for the density of states at the Fermi level is 25.26 states/eV/cell.

Cell lengths 8.0543, 8.0543, 19.8821 Å; angles 90.00, 90.00, 120.00 degrees
Space group R-3m (No. 166, hexagonal axes)
One atom of each set of equivalent atoms:
Pr 0.0000 0.0000 0.0000 [3 per cell]
Pr 0.0000 0.5000 0.0000 [9 per cell]
Th 0.0000 0.5000 0.5000 [9 per cell]
Sc 0.0000 0.0000 0.5000 [3 per cell]
S 0.0000 0.0000 0.2492 [6 per cell]
S 0.0135 0.5068 0.2452 [18 per cell]


VASP calculation (PBE-GGA) on crystalline Pr3ScTl4S8 at its relaxed geometry.

Properties
The value obtained for the volume is 1321.5 Å³/cell. The total moment is 0.00 μB/cell. As for the uncorrected formation energy: -1.404 eV/atom.

Cell lengths 8.2390, 8.2390, 22.4784 Å; angles 90.00, 90.00, 120.00 degrees
Space group R-3m (No. 166, hexagonal axes)
One atom of each set of equivalent atoms:
Pr 0.0000 0.5000 0.0000 [9 per cell]
Sc 0.0000 0.0000 0.0000 [3 per cell]
Tl 0.0000 0.0000 0.5000 [3 per cell]
Tl 0.0000 0.5000 0.5000 [9 per cell]
S 0.0000 0.0000 0.2637 [6 per cell]
S 0.0207 0.5103 0.7329 [18 per cell]